{
  "formula": "Sr4HoV3O12",
  "functional": "PBE+U",
  "state": "relaxed",
  "lattice_angstrom": [[6.944, 0.000, 0.000], [-2.315, 6.547, 0.000], [-2.315, -3.273, 5.670]],
  "species": ["O", "O", "O", "Sr", "Sr", "O", "Sr", "Sr", "O", "O", "V", "V", "O", "O", "O", "O", "O", "Ho", "O", "V"],
  "fractional_positions": [[0.269, 0.000, 0.269], [0.750, 0.250, 0.500], [0.000, 0.731, 0.731], [0.500, 0.000, 0.000], [0.000, 0.500, 0.000], [0.250, 0.750, 0.500], [0.500, 0.500, 0.500], [0.000, 0.000, 0.500], [0.269, 0.269, 0.000], [0.500, 0.250, 0.750], [0.000, 0.500, 0.500], [0.500, 0.000, 0.500], [0.731, 0.000, 0.731], [0.750, 0.500, 0.250], [0.250, 0.500, 0.750], [0.500, 0.750, 0.250], [0.731, 0.731, 0.000], [0.000, 0.000, 0.000], [0.000, 0.269, 0.269], [0.500, 0.500, 0.000]],
  "energy_ev_per_atom": -7.245
}

{
  "formula": "SrHo2WO8",
  "functional": "PBE+U",
  "state": "relaxed",
  "lattice_angstrom": [[-3.366, 3.014, 2.992], [-0.541, -3.119, 2.688], [4.950, 0.639, 4.847]],
  "species": ["O", "O", "O", "Ho", "O", "O", "Sr", "O", "W", "O", "Ho", "O"],
  "fractional_positions": [[0.698, 0.810, 0.915], [0.231, 0.806, 0.855], [0.939, 0.356, 0.746], [0.519, 0.381, 0.795], [0.508, 0.821, 0.498], [0.061, 0.644, 0.254], [0.000, 0.000, 0.500], [0.492, 0.179, 0.502], [0.000, 0.000, 0.000], [0.302, 0.190, 0.085], [0.481, 0.619, 0.205], [0.769, 0.194, 0.145]],
  "energy_ev_per_atom": -7.410
}